## K2TlOs (PBE)

Data for a geometry-optimized K2TlOs structure.

Calculated values
Uncorrected energy = -44.470 eV per cell
Energy of formation from the pure elements = 1168 meV/atom
N(E_F) = 0.31 states/eV/atom

CIF file:
```
data_K2TlOs
_symmetry_space_group_name_H-M 'I -4 2 d'
_symmetry_Int_Tables_number 122
_symmetry_space_group_name_Hall 'I -4 2bw'
_cell_length_a 4.197
_cell_length_b 4.197
_cell_length_c 23.709
_cell_angle_alpha 90.00
_cell_angle_beta 90.00
_cell_angle_gamma 90.00
loop_
_atom_site_label
_atom_site_type_symbol
_atom_site_fract_x
_atom_site_fract_y
_atom_site_fract_z
K1 K 0.244 0.250 0.125
Tl1 Tl 0.000 0.000 0.500
Os1 Os 0.000 0.000 0.000
```